CsRb4H4 after structural relaxation, computed with PBE.

Cell lengths 6.1125, 7.6183, 7.6236 Å; angles 80.76, 66.37, 66.35 degrees
Last column: nearest neighbours and their distance in Å.
Element x y z (fractional)
H 0.3118 0.7949 0.5816  5 Rb 2.95-3.06, 1 Cs 3.25
H 0.6882 0.2051 0.4184  5 Rb 2.95-3.06, 1 Cs 3.25
H 0.8934 0.4181 0.7950  5 Rb 2.95-3.06, 1 Cs 3.25
H 0.1066 0.5819 0.2050  5 Rb 2.95-3.06, 1 Cs 3.25
Rb 0.1826 0.2054 0.4294  5 H 2.95-3.06
Rb 0.3880 0.4293 0.7947  5 H 2.95-3.06
Rb 0.8174 0.7946 0.5706  5 H 2.95-3.06
Rb 0.6120 0.5707 0.2053  5 H 2.95-3.06
Cs 0.0000 0.0000 0.0000  4 H 3.25

Output
ρ (g/cm3): 2.67
Electronic total energy (eV/cell): -19.0
SG: I4/m, No. 87



Cs7Rb12H after structural relaxation, computed with PBE.

Cell lengths 12.5984, 13.4988, 13.4989 Å; angles 110.78, 108.13, 108.13 degrees
Last column: nearest neighbours and their distance in Å.
Element x y z (fractional)
Cs 0.8304 0.0981 0.8490  1 H 3.38
Cs 0.7324 0.7510 0.9019  1 H 3.38
Cs 0.2676 0.2490 0.0981  1 H 3.38
Cs 0.9814 0.1510 0.2490  1 H 3.38
Cs 0.0186 0.8490 0.7510  1 H 3.38
Cs 0.5000 0.0000 0.0000  6 Rb 5.14, 6 Cs 5.20
Cs 0.1696 0.9019 0.1510  1 H 3.38
Rb 0.5312 0.6748 0.4615  8 Rb 4.97-5.21, 4 Cs 5.11-5.30
Rb 0.4688 0.3252 0.5385  8 Rb 4.97-5.21, 4 Cs 5.11-5.30
Rb 0.7638 0.4226 0.3735  8 Rb 4.97-5.21, 4 Cs 5.14-5.35
Rb 0.8564 0.7867 0.3252  8 Rb 4.97-5.21, 4 Cs 5.11-5.30
Rb 0.1436 0.2133 0.6748  8 Rb 4.97-5.21, 4 Cs 5.11-5.30
Rb 0.9303 0.4615 0.7867  8 Rb 4.97-5.21, 4 Cs 5.11-5.30
Rb 0.3412 0.9510 0.5774  8 Rb 4.97-5.21, 4 Cs 5.14-5.35
Rb 0.6588 0.0490 0.4226  8 Rb 4.97-5.21, 4 Cs 5.14-5.35
Rb 0.3903 0.6265 0.0490  8 Rb 4.97-5.21, 4 Cs 5.14-5.35
Rb 0.0697 0.5385 0.2133  8 Rb 4.97-5.21, 4 Cs 5.11-5.30
Rb 0.2362 0.5774 0.6265  8 Rb 4.97-5.21, 4 Cs 5.14-5.35
Rb 0.6097 0.3735 0.9510  8 Rb 4.97-5.21, 4 Cs 5.14-5.35
H 0.0000 0.0000 0.0000  6 Cs 3.38

Output
ρ (g/cm3): 1.81
Electronic total energy (eV/cell): -20.9
SG: R-3, No. 148



Cs3Rb2H5 after structural relaxation, computed with PBE.

Cell lengths 4.2695, 8.0625, 9.5895 Å; angles 78.63, 77.14, 74.65 degrees
Last column: nearest neighbours and their distance in Å.
Element x y z (fractional)
H 0.7102 0.3774 0.2022  4 Cs 3.03-3.08, 2 Rb 3.15
H 0.1070 0.1967 0.5893  3 Rb 3.09-3.14, 3 Cs 3.09-3.20
H 0.0000 0.0000 0.0000  2 Cs 2.78
H 0.8930 0.8033 0.4107  3 Rb 3.09-3.14, 3 Cs 3.09-3.20
H 0.2898 0.6226 0.7978  4 Cs 3.03-3.08, 2 Rb 3.15
Cs 0.8872 0.3484 0.8771  5 H 2.78-3.09
Cs 0.5000 0.5000 0.5000  6 H 3.07-3.20
Cs 0.1128 0.6516 0.1229  5 H 2.78-3.09
Rb 0.6844 0.9182 0.7131  5 H 3.09-3.15
Rb 0.3156 0.0818 0.2869  5 H 3.09-3.15

Output
ρ (g/cm3): 3.11
Electronic total energy (eV/cell): -22.4
SG: C2/m, No. 12



Cs12Rb3H5 after structural relaxation, computed with PBE.

Cell lengths 19.4082, 19.4082, 19.4082 Å; angles 109.47, 109.47, 109.47 degrees
Last column: nearest neighbours and their distance in Å.
Element x y z (fractional)
Cs 0.6106 0.5966 0.4168  1 H 3.01
Cs 0.1797 0.4860 0.5966  1 H 3.01
Cs 0.1106 0.9168 0.0966  1 H 3.01
Cs 0.1937 0.1106 0.0140  1 H 3.01
Cs 0.3203 0.9034 0.0140  1 H 3.01
Cs 0.6797 0.0966 0.9860  1 H 3.01
Cs 0.0832 0.8894 0.4034  1 H 3.01
Cs 0.9168 0.8063 0.8203  1 H 3.01
Cs 0.0140 0.4034 0.3203  1 H 3.01
Cs 0.4168 0.0966 0.6106  1 H 3.01
Cs 0.5832 0.6797 0.6937  1 H 3.01
Cs 0.0832 0.1937 0.1797  1 H 3.01
Cs 0.6797 0.5832 0.1937  1 H 3.01
Cs 0.4034 0.0140 0.8203  1 H 3.01
Cs 0.6937 0.5140 0.6106  1 H 3.01
Cs 0.4860 0.1797 0.0966  1 H 3.01
Cs 0.3203 0.4168 0.8063  1 H 3.01
Cs 0.8063 0.9168 0.3203  1 H 3.01
Cs 0.0966 0.6797 0.4860  1 H 3.01
Cs 0.8063 0.8894 0.9860  1 H 3.01
Cs 0.5140 0.6937 0.1106  1 H 3.01
Cs 0.5140 0.8203 0.9034  1 H 3.01
Cs 0.1106 0.1937 0.5140  1 H 3.01
Cs 0.9860 0.3894 0.8063  1 H 3.01
Cs 0.0966 0.4168 0.1106  1 H 3.01
Cs 0.6937 0.1797 0.5832  1 H 3.01
Cs 0.3894 0.4034 0.5832  1 H 3.01
Cs 0.8203 0.3063 0.9168  1 H 3.01
Cs 0.0140 0.6106 0.1937  1 H 3.01
Cs 0.9860 0.5966 0.6797  1 H 3.01
Cs 0.9168 0.1106 0.5966  1 H 3.01
Cs 0.1937 0.0832 0.6797  1 H 3.01
Cs 0.8203 0.5140 0.4034  1 H 3.01
Cs 0.8894 0.8063 0.4860  1 H 3.01
Cs 0.6106 0.0140 0.6937  1 H 3.01
Cs 0.4168 0.3203 0.3063  1 H 3.01
Cs 0.3894 0.9860 0.3063  1 H 3.01
Cs 0.5832 0.9034 0.3894  1 H 3.01
Cs 0.3063 0.4860 0.3894  1 H 3.01
Cs 0.1797 0.6937 0.0832  1 H 3.01
Cs 0.9034 0.3203 0.5140  1 H 3.01
Cs 0.4860 0.3063 0.8894  1 H 3.01
Cs 0.9034 0.5832 0.8894  1 H 3.01
Cs 0.8894 0.0832 0.9034  1 H 3.01
Cs 0.5966 0.6106 0.9168  1 H 3.01
Cs 0.3063 0.8203 0.4168  1 H 3.01
Cs 0.4034 0.3894 0.0832  1 H 3.01
Cs 0.5966 0.9860 0.1797  1 H 3.01
H 0.0000 0.0000 0.0000  6 Cs 3.52
H 0.0000 0.0000 0.5000  6 Cs 3.52
H 0.2500 0.3750 0.6250  4 Cs 3.01
H 0.1250 0.3750 0.2500  4 Cs 3.01
H 0.8750 0.2500 0.6250  4 Cs 3.01
H 0.5000 0.0000 0.5000  6 Cs 3.52
H 0.3750 0.2500 0.1250  4 Cs 3.01
H 0.6250 0.7500 0.8750  4 Cs 3.01
H 0.8750 0.6250 0.7500  4 Cs 3.01
H 0.0000 0.5000 0.0000  6 Cs 3.52
H 0.7500 0.1250 0.8750  4 Cs 3.01
H 0.1250 0.7500 0.3750  4 Cs 3.01
H 0.5000 0.5000 0.0000  6 Cs 3.52
H 0.3750 0.1250 0.7500  4 Cs 3.01
H 0.7500 0.6250 0.3750  4 Cs 3.01
H 0.0000 0.5000 0.5000  6 Cs 3.52
H 0.5000 0.0000 0.0000  6 Cs 3.52
H 0.2500 0.8750 0.1250  4 Cs 3.01
H 0.5000 0.5000 0.5000  6 Cs 3.52
H 0.6250 0.8750 0.2500  4 Cs 3.01
Rb 0.2500 0.1250 0.3750  8 Cs 4.61-4.97
Rb 0.3750 0.6250 0.2500  8 Cs 4.61-4.97
Rb 0.2500 0.6250 0.8750  8 Cs 4.61-4.97
Rb 0.7500 0.3750 0.1250  8 Cs 4.61-4.97
Rb 0.8750 0.1250 0.2500  8 Cs 4.61-4.97
Rb 0.1250 0.8750 0.7500  8 Cs 4.61-4.97
Rb 0.6250 0.3750 0.7500  8 Cs 4.61-4.97
Rb 0.6250 0.2500 0.3750  8 Cs 4.61-4.97
Rb 0.8750 0.7500 0.1250  8 Cs 4.61-4.97
Rb 0.3750 0.7500 0.6250  8 Cs 4.61-4.97
Rb 0.7500 0.8750 0.6250  8 Cs 4.61-4.97
Rb 0.1250 0.2500 0.8750  8 Cs 4.61-4.97

Output
ρ (g/cm3): 2.19
Electronic total energy (eV/cell): -117.4
SG: Ia-3d, No. 230



Cs6Rb12H after structural relaxation, computed with PBE.

Cell lengths 12.1181, 12.1181, 12.1181 Å; angles 78.40, 78.40, 78.40 degrees
Last column: nearest neighbours and their distance in Å.
Element x y z (fractional)
Cs 0.1308 0.8173 0.8174  1 H 3.39
Cs 0.8174 0.1308 0.8173  1 H 3.39
Cs 0.8692 0.1827 0.1826  1 H 3.39
Cs 0.1826 0.8692 0.1827  1 H 3.39
Cs 0.1827 0.1826 0.8692  1 H 3.39
Cs 0.8173 0.8174 0.1308  1 H 3.39
Rb 0.1417 0.4657 0.1417  7 Rb 4.96-5.17, 5 Cs 5.11-5.18
Rb 0.4724 0.8066 0.4724  9 Rb 5.06-5.12, 3 Cs 5.26-5.30
Rb 0.5276 0.1934 0.5276  9 Rb 5.06-5.12, 3 Cs 5.26-5.30
Rb 0.8066 0.4724 0.4724  9 Rb 5.06-5.12, 3 Cs 5.26-5.30
Rb 0.5343 0.8583 0.8583  7 Rb 4.96-5.17, 5 Cs 5.11-5.18
Rb 0.8583 0.8583 0.5343  7 Rb 4.96-5.17, 5 Cs 5.11-5.18
Rb 0.4657 0.1417 0.1417  7 Rb 4.96-5.17, 5 Cs 5.11-5.18
Rb 0.4724 0.4724 0.8066  9 Rb 5.06-5.12, 3 Cs 5.26-5.30
Rb 0.8583 0.5343 0.8583  7 Rb 4.96-5.17, 5 Cs 5.11-5.18
Rb 0.1934 0.5276 0.5276  9 Rb 5.06-5.12, 3 Cs 5.26-5.30
Rb 0.1417 0.1417 0.4657  7 Rb 4.96-5.17, 5 Cs 5.11-5.18
Rb 0.5276 0.5276 0.1934  9 Rb 5.06-5.12, 3 Cs 5.26-5.30
H 0.0000 0.0000 0.0000  6 Cs 3.39

Output
ρ (g/cm3): 1.80
Electronic total energy (eV/cell): -20.1
SG: R-3m, No. 166



Cs6Rb8H after structural relaxation, computed with PBE.

Cell lengths 11.4966, 11.4966, 11.4966 Å; angles 72.71, 72.71, 72.71 degrees
Last column: nearest neighbours and their distance in Å.
Element x y z (fractional)
Cs 0.3903 0.8299 0.5278  7 Rb 5.03-5.44, 5 Cs 5.05-5.31
Cs 0.1701 0.4722 0.6097  7 Rb 5.03-5.44, 5 Cs 5.05-5.31
Cs 0.8299 0.5278 0.3903  7 Rb 5.03-5.44, 5 Cs 5.05-5.31
Cs 0.4722 0.6097 0.1701  7 Rb 5.03-5.44, 5 Cs 5.05-5.31
Cs 0.5278 0.3903 0.8299  7 Rb 5.03-5.44, 5 Cs 5.05-5.31
Cs 0.6097 0.1701 0.4722  7 Rb 5.03-5.44, 5 Cs 5.05-5.31
Rb 0.7114 0.9762 0.0876  1 H 3.24
Rb 0.0238 0.9124 0.2886  1 H 3.24
Rb 0.2886 0.0238 0.9124  1 H 3.24
Rb 0.9124 0.2886 0.0238  1 H 3.24
Rb 0.9762 0.0876 0.7114  1 H 3.24
Rb 0.0876 0.7114 0.9762  1 H 3.24
Rb 0.2455 0.2455 0.2455  6 Rb 5.03-5.41, 6 Cs 5.04-5.30
Rb 0.7545 0.7545 0.7545  6 Rb 5.03-5.41, 6 Cs 5.04-5.30
H 0.0000 0.0000 0.0000  6 Rb 3.24

Output
ρ (g/cm3): 1.83
Electronic total energy (eV/cell): -16.0
SG: R-3, No. 148



CsRb2H3 after structural relaxation, computed with PBE.

Cell lengths 4.9493, 7.7313, 10.3231 Å; angles 90.00, 90.00, 108.67 degrees
Last column: nearest neighbours and their distance in Å.
Element x y z (fractional)
H 0.0704 0.1408 0.7500  4 Rb 2.77-2.78
H 0.3786 0.7572 0.5288  3 Rb 2.76-3.06
H 0.6214 0.2428 0.0288  3 Rb 2.76-3.06
H 0.3786 0.7572 0.9712  3 Rb 2.76-3.06
H 0.6214 0.2428 0.4712  3 Rb 2.76-3.06
H 0.9296 0.8592 0.2500  4 Rb 2.77-2.78
Rb 0.0000 0.0000 0.0000  6 H 2.78-3.06
Rb 0.4849 0.9698 0.7500  4 H 2.76-2.77
Rb 0.5151 0.0302 0.2500  4 H 2.76-2.77
Rb 0.0000 0.0000 0.5000  6 H 2.78-3.06
Cs 0.7340 0.4680 0.7500  4 H 3.32-3.45, 1 Rb 3.65
Cs 0.2660 0.5320 0.2500  4 H 3.32-3.45, 1 Rb 3.65

Output
ρ (g/cm3): 2.72
Electronic total energy (eV/cell): -26.2
SG: Cmcm, No. 63



Cs4Rb3H after structural relaxation, computed with PBE.

Cell lengths 6.6015, 13.4014, 16.2094 Å; angles 90.00, 90.00, 90.00 degrees
Last column: nearest neighbours and their distance in Å.
Element x y z (fractional)
Cs 0.9353 0.8010 0.8435  1 H 3.02
Cs 0.4351 0.0000 0.9252  2 H 3.30
Cs 0.9351 0.5000 0.0748  2 H 3.30
Cs 0.4353 0.3010 0.1565  1 H 3.02
Cs 0.9353 0.1990 0.8435  1 H 3.02
Cs 0.9354 0.0000 0.1210  1 H 3.08
Cs 0.4353 0.6990 0.1565  1 H 3.02
Cs 0.4354 0.5000 0.8790  1 H 3.08
H 0.4351 0.5000 0.0691  5 Cs 3.02-3.30
H 0.9351 0.0000 0.9309  5 Cs 3.02-3.30
Rb 0.4360 0.7990 0.6108  6 Rb 4.83-5.39, 2 Cs 5.01
Rb 0.4360 0.2010 0.6108  6 Rb 4.83-5.39, 2 Cs 5.01
Rb 0.9360 0.7010 0.3892  6 Rb 4.83-5.39, 2 Cs 5.01
Rb 0.9360 0.2990 0.3892  6 Rb 4.83-5.39, 2 Cs 5.01
Rb 0.9365 0.5000 0.6364  6 Rb 4.83-5.21, 4 Cs 5.13-5.25
Rb 0.4365 0.0000 0.3636  6 Rb 4.83-5.21, 4 Cs 5.13-5.25

Output
ρ (g/cm3): 1.83
Electronic total energy (eV/cell): -19.0
SG: Pmn2_1, No. 31



Q: The lowest electronic total energy belongs to which entry?
A: Cs12Rb3H5



Q: Among the records above, which one has the lowest ρ?
A: Cs6Rb12H



What did the second record say?
Cs7Rb12H after structural relaxation, computed with PBE.

Cell lengths 12.5984, 13.4988, 13.4989 Å; angles 110.78, 108.13, 108.13 degrees
Last column: nearest neighbours and their distance in Å.
Element x y z (fractional)
Cs 0.8304 0.0981 0.8490  1 H 3.38
Cs 0.7324 0.7510 0.9019  1 H 3.38
Cs 0.2676 0.2490 0.0981  1 H 3.38
Cs 0.9814 0.1510 0.2490  1 H 3.38
Cs 0.0186 0.8490 0.7510  1 H 3.38
Cs 0.5000 0.0000 0.0000  6 Rb 5.14, 6 Cs 5.20
Cs 0.1696 0.9019 0.1510  1 H 3.38
Rb 0.5312 0.6748 0.4615  8 Rb 4.97-5.21, 4 Cs 5.11-5.30
Rb 0.4688 0.3252 0.5385  8 Rb 4.97-5.21, 4 Cs 5.11-5.30
Rb 0.7638 0.4226 0.3735  8 Rb 4.97-5.21, 4 Cs 5.14-5.35
Rb 0.8564 0.7867 0.3252  8 Rb 4.97-5.21, 4 Cs 5.11-5.30
Rb 0.1436 0.2133 0.6748  8 Rb 4.97-5.21, 4 Cs 5.11-5.30
Rb 0.9303 0.4615 0.7867  8 Rb 4.97-5.21, 4 Cs 5.11-5.30
Rb 0.3412 0.9510 0.5774  8 Rb 4.97-5.21, 4 Cs 5.14-5.35
Rb 0.6588 0.0490 0.4226  8 Rb 4.97-5.21, 4 Cs 5.14-5.35
Rb 0.3903 0.6265 0.0490  8 Rb 4.97-5.21, 4 Cs 5.14-5.35
Rb 0.0697 0.5385 0.2133  8 Rb 4.97-5.21, 4 Cs 5.11-5.30
Rb 0.2362 0.5774 0.6265  8 Rb 4.97-5.21, 4 Cs 5.14-5.35
Rb 0.6097 0.3735 0.9510  8 Rb 4.97-5.21, 4 Cs 5.14-5.35
H 0.0000 0.0000 0.0000  6 Cs 3.38

Output
ρ (g/cm3): 1.81
Electronic total energy (eV/cell): -20.9
SG: R-3, No. 148



Q: Among the records above, which one has the highest ρ?
A: Cs3Rb2H5